[1]
## Rb2AuBr (PBE-GGA)

Data for Rb2AuBr after structural relaxation.

DFT total energy: -10.81 eV/cell
energy above the lowest structure with this stoichiometry: 0.031 eV per atom
raw formation energy: -94.7 kJ/mol of atoms

Lattice parameters (Å, degrees): 9.041 9.041 9.041 31.15 31.15 31.15
Sites, in units of the cell vectors:
Rb (0.000, 0.000, 0.000)
Rb (0.165, 0.165, 0.165)
Au (0.583, 0.583, 0.583)
Br (0.416, 0.416, 0.416)

---

[2]
## Rb3Au2Br7 (PBE-GGA)

Data for Rb3Au2Br7 after structural relaxation.

DFT total energy: -32.57 eV/cell
energy above the lowest structure with this stoichiometry: 0.000 eV per atom
raw formation energy: -91.7 kJ/mol of atoms

Lattice parameters (Å, degrees): 14.307 14.307 14.307 157.90 157.90 31.46
Sites, in units of the cell vectors:
Rb (0.000, 0.000, 0.000)
Rb (0.178, 0.178, 0.000)
Rb (0.822, 0.822, 0.000)
Au (0.403, 0.403, 0.000)
Au (0.597, 0.597, 0.000)
Br (0.093, 0.593, 0.500)
Br (0.305, 0.305, 0.000)
Br (0.407, 0.907, 0.500)
Br (0.500, 0.500, 0.000)
Br (0.593, 0.093, 0.500)
Br (0.695, 0.695, 0.000)
Br (0.907, 0.407, 0.500)

---

[3]
## Rb4AuBr2 (PBE-GGA)

Data for Rb4AuBr2 after structural relaxation.

DFT total energy: -17.74 eV/cell
energy above the lowest structure with this stoichiometry: 0.000 eV per atom
raw formation energy: -99.9 kJ/mol of atoms

Lattice parameters (Å, degrees): 9.780 9.780 8.576 115.07 115.07 28.52
Sites, in units of the cell vectors:
Rb (0.126, 0.126, 0.452)
Rb (0.370, 0.370, 0.030)
Rb (0.630, 0.630, 0.970)
Rb (0.874, 0.874, 0.548)
Au (0.000, 0.000, 0.000)
Br (0.257, 0.257, 0.259)
Br (0.743, 0.743, 0.741)

---

[4]
## Rb3Au3Br8 (PBE-GGA)

Data for Rb3Au3Br8 after structural relaxation.

DFT total energy: -76.73 eV/cell
raw formation energy: -84.4 kJ/mol of atoms

Lattice parameters (Å, degrees): 7.618 7.618 19.521 94.74 94.74 63.53
Sites, in units of the cell vectors:
Rb (0.001, 0.999, 0.750)
Rb (0.300, 0.331, 0.411)
Rb (0.331, 0.300, 0.911)
Rb (0.669, 0.700, 0.089)
Rb (0.700, 0.669, 0.589)
Rb (0.999, 0.001, 0.250)
Au (0.000, 0.000, 0.000)
Au (0.000, 0.000, 0.500)
Au (0.346, 0.392, 0.181)
Au (0.392, 0.346, 0.681)
Au (0.608, 0.654, 0.319)
Au (0.654, 0.608, 0.819)
Br (0.049, 0.514, 0.246)
Br (0.152, 0.720, 0.080)
Br (0.158, 0.197, 0.563)
Br (0.197, 0.158, 0.063)
Br (0.257, 0.653, 0.621)
Br (0.280, 0.848, 0.420)
Br (0.347, 0.743, 0.879)
Br (0.486, 0.951, 0.254)
Br (0.514, 0.049, 0.746)
Br (0.653, 0.257, 0.121)
Br (0.720, 0.152, 0.580)
Br (0.743, 0.347, 0.379)
Br (0.803, 0.842, 0.937)
Br (0.842, 0.803, 0.437)
Br (0.848, 0.280, 0.920)
Br (0.951, 0.486, 0.754)